Record 1
VASP calculation (PBE-GGA) on a relaxed structure of SrTl2GeTe4. Values from VASP.

Formation energy (no corrections): -0.453 eV/atom
Space group: Imma, No. 74

Cell and atoms, written as Quantum ESPRESSO input:
```
&SYSTEM
  ibrav = 0, nat = 16, ntyp = 4
/
ATOMIC_SPECIES
Sr 87.62 Sr.upf
Tl 204.38 Tl.upf
Ge 72.64 Ge.upf
Te 127.60 Te.upf
ATOMIC_POSITIONS crystal
Sr 0.000 0.000 0.000
Sr 0.500 0.000 0.500
Tl 0.000 0.500 0.500
Tl 0.500 0.000 0.000
Tl 0.500 0.500 0.000
Tl 0.500 0.500 0.500
Ge 0.000 0.000 0.500
Ge 0.000 0.500 0.000
Te 0.217 0.746 0.471
Te 0.225 0.254 0.971
Te 0.236 0.240 0.503
Te 0.236 0.733 0.997
Te 0.764 0.267 0.003
Te 0.764 0.760 0.497
Te 0.775 0.746 0.029
Te 0.783 0.254 0.529
CELL_PARAMETERS angstrom
-4.570 4.625 6.392
4.570 -4.625 6.392
4.570 4.625 -6.392
```

Record 2
VASP calculation (PBE-GGA) on a relaxed structure of Sr2UGeTe5. Values from VASP.

Formation energy (no corrections): -0.921 eV/atom
Space group: Cmc2_1, No. 36

Cell and atoms, written as Quantum ESPRESSO input:
```
&SYSTEM
  ibrav = 0, nat = 18, ntyp = 4
/
ATOMIC_SPECIES
Sr 87.62 Sr.upf
U 238.03 U.upf
Ge 72.64 Ge.upf
Te 127.60 Te.upf
ATOMIC_POSITIONS crystal
Sr 0.096 0.904 0.500
Sr 0.129 0.871 0.146
Sr 0.871 0.129 0.646
Sr 0.904 0.096 0.000
U 0.220 0.780 0.871
U 0.780 0.220 0.371
Ge 0.448 0.552 0.286
Ge 0.552 0.448 0.786
Te 0.065 0.935 0.906
Te 0.273 0.727 0.514
Te 0.306 0.694 0.231
Te 0.376 0.624 0.830
Te 0.497 0.503 0.602
Te 0.503 0.497 0.102
Te 0.624 0.376 0.330
Te 0.694 0.306 0.731
Te 0.727 0.273 0.014
Te 0.935 0.065 0.406
CELL_PARAMETERS angstrom
2.281 -9.568 0.000
2.281 9.568 0.000
0.000 0.000 14.661
```

Record 3
VASP calculation (PBE-GGA) on a relaxed structure of SrThGe2. Values from VASP.

Space group: R-3m, No. 166
Energy relative to the elements: -0.45 eV per atom

Cell and atoms, written as Quantum ESPRESSO input:
```
&SYSTEM
  ibrav = 0, nat = 4, ntyp = 3
/
ATOMIC_SPECIES
Sr 87.62 Sr.upf
Th 232.04 Th.upf
Ge 72.64 Ge.upf
ATOMIC_POSITIONS crystal
Sr 0.000 0.000 0.000
Th 0.500 0.500 0.500
Ge 0.239 0.239 0.239
Ge 0.761 0.761 0.761
CELL_PARAMETERS angstrom
2.230 1.287 7.172
-2.230 1.287 7.172
0.000 -2.575 7.172
```

Record 4
VASP calculation (PBE-GGA) on a relaxed structure of SrTi2Ge2. Values from VASP.

Space group: I4/mmm, No. 139
Energy relative to the elements: -0.50 eV per atom
Energy relative to the lowest polymorph listed for this composition: 0 meV/atom

Cell and atoms, written as Quantum ESPRESSO input:
```
&SYSTEM
  ibrav = 0, nat = 5, ntyp = 3
/
ATOMIC_SPECIES
Sr 87.62 Sr.upf
Ti 47.87 Ti.upf
Ge 72.64 Ge.upf
ATOMIC_POSITIONS crystal
Sr 0.000 0.000 0.000
Ti 0.250 0.750 0.500
Ti 0.750 0.250 0.500
Ge 0.375 0.375 0.000
Ge 0.625 0.625 0.000
CELL_PARAMETERS angstrom
-2.152 2.152 5.965
2.152 -2.152 5.965
2.152 2.152 -5.965
```

Record 5
VASP calculation (PBE-GGA) on a relaxed structure of SrTi3Ge. Values from VASP.

Space group: Pm-3m, No. 221
Energy relative to the elements: 1.89 eV per atom
Energy relative to the lowest polymorph listed for this composition: 1445 meV/atom

Cell and atoms, written as Quantum ESPRESSO input:
```
&SYSTEM
  ibrav = 0, nat = 5, ntyp = 3
/
ATOMIC_SPECIES
Sr 87.62 Sr.upf
Ti 47.87 Ti.upf
Ge 72.64 Ge.upf
ATOMIC_POSITIONS crystal
Sr 0.000 0.000 0.000
Ti 0.000 0.000 0.500
Ti 0.000 0.500 0.000
Ti 0.500 0.000 0.000
Ge 0.500 0.500 0.500
CELL_PARAMETERS angstrom
4.757 0.000 0.000
0.000 4.757 0.000
0.000 0.000 4.757
```

Record 6
VASP calculation (PBE-GGA) on a relaxed structure of SrTi3Ge. Values from VASP.

Space group: Pm-3m, No. 221
Energy relative to the elements: 0.45 eV per atom
Energy relative to the lowest polymorph listed for this composition: 0 meV/atom

Cell and atoms, written as Quantum ESPRESSO input:
```
&SYSTEM
  ibrav = 0, nat = 5, ntyp = 3
/
ATOMIC_SPECIES
Sr 87.62 Sr.upf
Ti 47.87 Ti.upf
Ge 72.64 Ge.upf
ATOMIC_POSITIONS crystal
Sr 0.000 0.000 0.000
Ti 0.000 0.500 0.500
Ti 0.500 0.000 0.500
Ti 0.500 0.500 0.000
Ge 0.500 0.500 0.500
CELL_PARAMETERS angstrom
4.957 0.000 0.000
0.000 4.957 0.000
0.000 0.000 4.957
```

Record 7
VASP calculation (PBE-GGA) on a relaxed structure of Sr2TiGe. Values from VASP.

Space group: I-42d, No. 122
Energy relative to the elements: 0.21 eV per atom

Cell and atoms, written as Quantum ESPRESSO input:
```
&SYSTEM
  ibrav = 0, nat = 8, ntyp = 3
/
ATOMIC_SPECIES
Sr 87.62 Sr.upf
Ti 47.87 Ti.upf
Ge 72.64 Ge.upf
ATOMIC_POSITIONS crystal
Sr 0.375 0.218 0.343
Sr 0.782 0.125 0.157
Sr 0.875 0.032 0.657
Sr 0.968 0.625 0.843
Ti 0.250 0.750 0.500
Ti 0.500 0.500 0.000
Ge 0.000 0.000 0.000
Ge 0.750 0.250 0.500
CELL_PARAMETERS angstrom
-5.719 5.719 2.527
5.719 -5.719 2.527
5.719 5.719 -2.527
```

Record 8
VASP calculation (PBE-GGA) on a relaxed structure of SrTiGe3. Values from VASP.

Space group: Pm-3m, No. 221
Energy relative to the elements: -0.31 eV per atom

Cell and atoms, written as Quantum ESPRESSO input:
```
&SYSTEM
  ibrav = 0, nat = 5, ntyp = 3
/
ATOMIC_SPECIES
Sr 87.62 Sr.upf
Ti 47.87 Ti.upf
Ge 72.64 Ge.upf
ATOMIC_POSITIONS crystal
Sr 0.000 0.000 0.000
Ti 0.500 0.500 0.500
Ge 0.000 0.500 0.500
Ge 0.500 0.000 0.500
Ge 0.500 0.500 0.000
CELL_PARAMETERS angstrom
4.959 0.000 0.000
0.000 4.959 0.000
0.000 0.000 4.959
```

Table of E (eV/atom), in record order: -3.40; -4.81; -5.03; -5.84; -4.10; -5.55; -3.76; -5.00
Table of calculated volume (A^3/atom), in record order: 33.78; 35.56; 30.88; 22.10; 21.53; 24.36; 41.32; 24.38
Table of Fermi-level density of states (states/eV/f.u.), in record order: 6.5; 4.9; 3.7; 5.8; 5.0; 11.3; 4.7; 2.5